Version 1
Fe2Te4BrClO10: optimized geometry, GGA+U.

```
data_Fe2Te4BrClO10
_space_group_name_H-M_alt 'P 1 21/c 1'
_space_group_IT_number 14
_space_group_name_Hall '-P 2ybc'
_cell_length_a 13.4723
_cell_length_b 6.7025
_cell_length_c 14.5036
_cell_angle_alpha 90.00
_cell_angle_beta 107.68
_cell_angle_gamma 90.00
loop_
_atom_site_label
_atom_site_fract_x
_atom_site_fract_y
_atom_site_fract_z
_atom_site_occupancy
Fe1 0.0628 0.2065 0.1439 1
Fe2 0.1172 0.5006 0.9784 1
Te1 0.1116 0.6890 0.2133 1
Te2 0.1977 0.5184 0.5199 1
Te3 0.2809 0.2103 0.3598 1
Te4 0.3663 0.0324 0.6367 1
Br1 0.3883 0.6487 0.7817 1
Cl1 0.4357 0.7035 0.0481 1
O1 0.0097 0.2417 0.2529 1
O2 0.0385 0.5125 0.1022 1
O3 0.0892 0.7018 0.4490 1
O4 0.1007 0.5763 0.6366 1
O5 0.1128 0.2133 0.0200 1
O6 0.1864 0.0179 0.3792 1
O7 0.2105 0.2284 0.7264 1
O8 0.2122 0.0477 0.8920 1
O9 0.2317 0.5932 0.0906 1
O10 0.3376 0.2355 0.5431 1
```



Version 2
Fe2Te4BrClO10: optimized geometry, GGA+U.

```
data_Fe2Te4BrClO10
_space_group_name_H-M_alt 'P 1 21/c 1'
_space_group_IT_number 14
_space_group_name_Hall '-P 2ybc'
_cell_length_a 13.4645
_cell_length_b 6.7035
_cell_length_c 14.4668
_cell_angle_alpha 90.00
_cell_angle_beta 109.05
_cell_angle_gamma 90.00
loop_
_atom_site_label
_atom_site_fract_x
_atom_site_fract_y
_atom_site_fract_z
_atom_site_occupancy
Fe1 0.0625 0.2062 0.1448 1
Fe2 0.1189 0.5023 0.9822 1
Te1 0.1128 0.6890 0.2158 1
Te2 0.1999 0.5166 0.5252 1
Te3 0.2821 0.2057 0.3646 1
Te4 0.3732 0.0200 0.6439 1
Br1 0.4376 0.7376 0.0442 1
Cl1 0.3898 0.6210 0.7814 1
O1 0.0095 0.2406 0.2534 1
O2 0.0389 0.5125 0.1028 1
O3 0.0908 0.7002 0.4513 1
O4 0.1014 0.5763 0.6387 1
O5 0.1139 0.2151 0.0224 1
O6 0.1875 0.0129 0.3833 1
O7 0.2104 0.2286 0.7306 1
O8 0.2152 0.0519 0.8978 1
O9 0.2345 0.5963 0.0976 1
O10 0.3442 0.2274 0.5526 1
```



Q: Which of them is the least stable? A: version 2.